# 1
Compound: Rb2MgO
Source: Alexandria
Functional: meta-GGA SCAN
Structure: PBEsol geometry

Lattice parameters (Å, degrees): 5.434 5.434 5.434 60.00 60.00 60.00
Fractional coordinates of all 4 atoms:
Rb (0.750, 0.750, 0.750)
Mg (0.500, 0.500, 0.500)
O (0.000, 0.000, 0.000)
Rb (0.250, 0.250, 0.250)

Output
Its uncorrected formation energy is -21 kJ/mol of formula units. The symmetry is Fm-3m, No. 225. The value obtained for the total moment is 0.000 μB per cell. The calculation puts the total energy at -13.23 eV/atom.



# 2
Compound: Be8Cu
Source: Alexandria
Functional: meta-GGA SCAN
Structure: PBEsol geometry

Lattice parameters (Å, degrees): 3.188 5.076 5.076 84.34 71.70 71.70
Fractional coordinates of all 9 atoms:
Be (0.338, 0.662, 0.662)
Be (0.330, 0.341, 0.000)
Be (0.662, 0.338, 0.338)
Be (0.000, 0.338, 0.662)
Be (0.330, 0.000, 0.341)
Be (0.000, 0.662, 0.338)
Be (0.670, 0.659, 0.000)
Cu (0.000, 0.000, 0.000)
Be (0.670, 0.000, 0.659)

Output
The symmetry is I4/mmm, No. 139. For the energy of formation from the pure elements, the calculation gives 0.00 eV/atom. The value obtained for the total moment is 0.015 μB per cell. The calculation puts the total energy at -5.56 eV/atom. For the density of states at the Fermi level, the calculation gives 1.21 states/eV per cell.



# 3
Compound: HfTaAl2Ga
Source: Alexandria
Functional: meta-GGA SCAN
Structure: PBEsol geometry

Lattice parameters (Å, degrees): 4.788 4.795 4.795 90.00 90.00 90.00
Fractional coordinates of all 5 atoms:
Al (0.000, 0.500, 0.000)
Hf (0.500, 0.500, 0.500)
Ga (0.500, 0.000, 0.000)
Al (0.000, 0.000, 0.500)
Ta (0.000, 0.000, 0.000)

Output
The symmetry is P4/mmm, No. 123. For the energy of formation from the pure elements, the calculation gives 0.84 eV/atom. The value obtained for the total moment is 0.000 μB per cell. The calculation puts the total energy at -31.38 eV/atom. For the density of states at the Fermi level, the calculation gives 3.99 states/eV per cell.



# 4
Compound: Li2TePb
Source: Alexandria
Functional: meta-GGA SCAN
Structure: PBEsol geometry

Lattice parameters (Å, degrees): 4.118 4.118 6.064 109.85 109.85 90.00
Fractional coordinates of all 4 atoms:
Pb (0.500, 0.500, 0.000)
Li (0.750, 0.250, 0.500)
Te (0.250, 0.750, 0.500)
Li (0.000, 0.000, 0.000)

Output
Its uncorrected formation energy is -194 kJ/mol of formula units. The symmetry is I-4m2, No. 119. As for the energy above the most stable polymorph in this dataset: 2.20 kcal/mol of atoms. The value obtained for the total moment is 0.000 μB per cell. The calculation puts the total energy at -29.96 eV/atom. For the density of states at the Fermi level, the calculation gives 1.43 states/eV per cell.



total moment of number 4 (Li2TePb)? 0.000 μB per cell



Copy entry 4 word for word.
Compound: Li2TePb
Source: Alexandria
Functional: meta-GGA SCAN
Structure: PBEsol geometry

Lattice parameters (Å, degrees): 4.118 4.118 6.064 109.85 109.85 90.00
Fractional coordinates of all 4 atoms:
Pb (0.500, 0.500, 0.000)
Li (0.750, 0.250, 0.500)
Te (0.250, 0.750, 0.500)
Li (0.000, 0.000, 0.000)

Output
Its uncorrected formation energy is -194 kJ/mol of formula units. The symmetry is I-4m2, No. 119. As for the energy above the most stable polymorph in this dataset: 2.20 kcal/mol of atoms. The value obtained for the total moment is 0.000 μB per cell. The calculation puts the total energy at -29.96 eV/atom. For the density of states at the Fermi level, the calculation gives 1.43 states/eV per cell.



Copy entry 3 word for word.
Compound: HfTaAl2Ga
Source: Alexandria
Functional: meta-GGA SCAN
Structure: PBEsol geometry

Lattice parameters (Å, degrees): 4.788 4.795 4.795 90.00 90.00 90.00
Fractional coordinates of all 5 atoms:
Al (0.000, 0.500, 0.000)
Hf (0.500, 0.500, 0.500)
Ga (0.500, 0.000, 0.000)
Al (0.000, 0.000, 0.500)
Ta (0.000, 0.000, 0.000)

Output
The symmetry is P4/mmm, No. 123. For the energy of formation from the pure elements, the calculation gives 0.84 eV/atom. The value obtained for the total moment is 0.000 μB per cell. The calculation puts the total energy at -31.38 eV/atom. For the density of states at the Fermi level, the calculation gives 3.99 states/eV per cell.